1.
Zr3AgHg6 after structural relaxation, computed with PBE.

Summary:
Its spin magnetization is 0.0 μB/f.u. Its volume is 21.520 Å³ per atom.

```
data_Zr3AgHg6
_chemical_formula_sum 'Zr6 Ag2 Hg12'
_cell_length_a 9.441
_cell_length_b 4.489
_cell_length_c 10.189
_cell_angle_alpha 90.00
_cell_angle_beta 94.59
_cell_angle_gamma 90.00
_symmetry_space_group_name_H-M 'P 1 21/m 1'
_symmetry_Int_Tables_number 11
loop_
_symmetry_equiv_pos_as_xyz
'x,y,z'
'-x,-y,-z'
'-x,y+1/2,-z'
'x,-y+1/2,z'
loop_
_atom_site_label
_atom_site_type_symbol
_atom_site_fract_x
_atom_site_fract_y
_atom_site_fract_z
Zr1 Zr 0.048 0.250 0.403
Zr2 Zr 0.149 0.750 0.207
Zr3 Zr 0.255 0.250 0.010
Ag1 Ag 0.450 0.250 0.590
Hg1 Hg 0.050 0.750 0.905
Hg2 Hg 0.152 0.250 0.701
Hg3 Hg 0.253 0.750 0.500
Hg4 Hg 0.348 0.750 0.804
Hg5 Hg 0.350 0.250 0.308
Hg6 Hg 0.451 0.750 0.114
```

2.
Zr2AgHg after structural relaxation, computed with PBE.

Summary:
Its spin magnetization is 0.0 μB/f.u. Its volume is 21.191 Å³ per atom.

```
data_Zr2AgHg
_chemical_formula_sum 'Zr2 Ag1 Hg1'
_cell_length_a 3.565
_cell_length_b 3.565
_cell_length_c 6.669
_cell_angle_alpha 90.00
_cell_angle_beta 90.00
_cell_angle_gamma 90.00
_symmetry_space_group_name_H-M 'P 4 m m'
_symmetry_Int_Tables_number 99
loop_
_symmetry_equiv_pos_as_xyz
'x,y,z'
'-y,x,z'
'-x,-y,z'
'y,-x,z'
'-x,y,z'
'y,x,z'
'x,-y,z'
'-y,-x,z'
loop_
_atom_site_label
_atom_site_type_symbol
_atom_site_fract_x
_atom_site_fract_y
_atom_site_fract_z
Zr1 Zr 0.000 0.000 0.000
Zr2 Zr 0.500 0.500 0.279
Ag1 Ag 0.000 0.000 0.516
Hg1 Hg 0.500 0.500 0.753
```

Number 1: final energy -61.648 eV for the cell shown, mass density 12.23 g/cm³. Number 2: final energy -20.698 eV for the cell shown, mass density 9.62 g/cm³.